# Ba2AlHgOs (PBE-GGA, relaxed)
data_Ba2AlHgOs
_chemical_formula_sum 'Ba2 Al1 Hg1 Os1'
_symmetry_space_group_name_H-M 'P 4/m m m'
_symmetry_Int_Tables_number 123
_symmetry_space_group_name_Hall '-P 4 2'
_cell_length_a 5.976
_cell_length_b 5.976
_cell_length_c 4.863
_cell_angle_alpha 90.00
_cell_angle_beta 90.00
_cell_angle_gamma 90.00
loop_
_atom_site_label
_atom_site_type_symbol
_atom_site_fract_x
_atom_site_fract_y
_atom_site_fract_z
Ba1 Ba 0.000 0.500 0.000
Al1 Al 0.000 0.000 0.500
Hg1 Hg 0.500 0.500 0.500
Os1 Os 0.000 0.000 0.000
# - crystal system = tetragonal
# - formation energy (kJ per mole of atoms) = 8.8
# - N(E_F) (states/eV/f.u.) = 4.7
# - magnetization (μB per formula unit) = 0.0